# 1
## HoCdPb2 (GGA-PBE)

Data for a relaxed HoCdPb2 crystal.

Results
**E_tot**: -39.55 eV per cell
**Offset from the most stable computed form**: 219 meV/atom
**Fermi-level density of states**: 6.97 states/eV per cell
**Volume**: 365.3 Å³/cell

Cell: 4.6856 4.6856 19.2139 Å, 90.00 90.00 120.00°
Sites, in units of the cell vectors:
Ho: 0.0000 0.0000 0.0000
Ho: 0.3333 0.6667 0.6667
Ho: 0.6667 0.3333 0.3333
Cd: 0.0000 0.0000 0.8232
Cd: 0.3333 0.6667 0.4899
Cd: 0.6667 0.3333 0.1565
Pb: 0.0000 0.0000 0.4112
Pb: 0.0000 0.0000 0.5765
Pb: 0.3333 0.6667 0.0779
Pb: 0.3333 0.6667 0.2432
Pb: 0.6667 0.3333 0.7445
Pb: 0.6667 0.3333 0.9098

# 2
## NdThPd (GGA-PBE)

Data for a relaxed NdThPd crystal.

Results
**E_tot**: -74.66 eV per cell
**Offset from the most stable computed form**: 3 meV/atom
**Fermi-level density of states**: 12.45 states/eV per cell
**Volume**: 343.7 Å³/cell

Cell: 13.5661 4.3084 5.9834 Å, 90.00 100.60 90.00°
Sites, in units of the cell vectors:
Nd: 0.1455 0.0000 0.3153
Nd: 0.3545 0.5000 0.6847
Nd: 0.6455 0.5000 0.3153
Nd: 0.8545 0.0000 0.6847
Th: 0.0798 0.5000 0.7763
Th: 0.4202 0.0000 0.2237
Th: 0.5798 0.0000 0.7763
Th: 0.9202 0.5000 0.2237
Pd: 0.2271 0.0000 0.8382
Pd: 0.2729 0.5000 0.1618
Pd: 0.7271 0.5000 0.8382
Pd: 0.7729 0.0000 0.1618

# 3
## BaTaIr3 (GGA-PBE)

Data for a relaxed BaTaIr3 crystal.

Results
**E_tot**: -37.53 eV per cell
**Fermi-level density of states**: 8.10 states/eV per cell
**Volume**: 119.5 Å³/cell

Cell: 4.9257 4.9257 4.9257 Å, 90.00 90.00 90.00°
Sites, in units of the cell vectors:
Ba: 0.0000 0.0000 0.0000
Ta: 0.5000 0.5000 0.5000
Ir: 0.0000 0.5000 0.5000
Ir: 0.5000 0.0000 0.5000
Ir: 0.5000 0.5000 0.0000

# 4
## PRhPb3 (GGA-PBE)

Data for a relaxed PRhPb3 crystal.

Results
**E_tot**: -22.37 eV per cell
**Offset from the most stable computed form**: 0 meV/atom
**Fermi-level density of states**: 0.83 states/eV per cell
**Volume**: 142.2 Å³/cell

Cell: 5.2200 5.2200 5.2200 Å, 90.00 90.00 90.00°
Sites, in units of the cell vectors:
P: 0.0000 0.0000 0.0000
Rh: 0.5000 0.5000 0.5000
Pb: 0.0000 0.5000 0.5000
Pb: 0.5000 0.0000 0.5000
Pb: 0.5000 0.5000 0.0000

# 5
## CsLi3Sn4Br12 (GGA-PBE)

Data for a relaxed CsLi3Sn4Br12 crystal.

Results
**E_tot**: -63.99 eV per cell
**Fermi-level density of states**: 0.00 states/eV per cell
**Volume**: 668.7 Å³/cell

Cell: 9.5414 9.5414 9.5414 Å, 109.47 109.47 109.47°
Sites, in units of the cell vectors:
Cs: 0.0000 0.0000 0.0000
Li: 0.0000 0.5000 0.5000
Li: 0.5000 0.0000 0.5000
Li: 0.5000 0.5000 0.0000
Sn: 0.0000 0.0000 0.5000
Sn: 0.0000 0.5000 0.0000
Sn: 0.5000 0.0000 0.0000
Sn: 0.5000 0.5000 0.5000
Br: 0.1512 0.8308 0.3204
Br: 0.1692 0.3204 0.4896
Br: 0.1692 0.6796 0.8488
Br: 0.3204 0.1512 0.8308
Br: 0.3204 0.4896 0.1692
Br: 0.4896 0.1692 0.3204
Br: 0.5104 0.8308 0.6796
Br: 0.6796 0.5104 0.8308
Br: 0.6796 0.8488 0.1692
Br: 0.8308 0.3204 0.1512
Br: 0.8308 0.6796 0.5104
Br: 0.8488 0.1692 0.6796

# 6
## PuNpPa2 (GGA-PBE)

Data for a relaxed PuNpPa2 crystal.

Results
**E_tot**: -45.42 eV per cell
**Offset from the most stable computed form**: 45 meV/atom
**Fermi-level density of states**: 11.43 states/eV per cell
**Volume**: 93.0 Å³/cell

Cell: 4.6909 4.6909 4.2270 Å, 90.00 90.00 90.00°
Sites, in units of the cell vectors:
Pu: 0.0000 0.0000 0.0000
Np: 0.5000 0.5000 0.0000
Pa: 0.0000 0.5000 0.5000
Pa: 0.5000 0.0000 0.5000

# 7
## Th4FeGe8 (GGA-PBE)

Data for a relaxed Th4FeGe8 crystal.

Results
**E_tot**: -82.93 eV per cell
**Fermi-level density of states**: 4.37 states/eV per cell
**Volume**: 289.0 Å³/cell

Cell: 4.1370 4.1983 16.6407 Å, 90.00 90.00 90.00°
Sites, in units of the cell vectors:
Th: 0.0000 0.0000 0.0000
Th: 0.0000 0.5000 0.4995
Th: 0.5000 0.0000 0.2139
Th: 0.5000 0.5000 0.7136
Fe: 0.5000 0.0000 0.4170
Ge: 0.0000 0.0000 0.3495
Ge: 0.0000 0.0000 0.6549
Ge: 0.0000 0.5000 0.1574
Ge: 0.0000 0.5000 0.8568
Ge: 0.5000 0.0000 0.5576
Ge: 0.5000 0.0000 0.8570
Ge: 0.5000 0.5000 0.0559
Ge: 0.5000 0.5000 0.3501

# 8
## CsSc2TaAl (GGA-PBE)

Data for a relaxed CsSc2TaAl crystal.

Results
**E_tot**: -25.44 eV per cell
**Fermi-level density of states**: 6.98 states/eV per cell
**Volume**: 153.7 Å³/cell

Cell: 5.3300 5.3300 5.4110 Å, 90.00 90.00 90.00°
Sites, in units of the cell vectors:
Cs: 0.0000 0.0000 0.0000
Sc: 0.0000 0.5000 0.5000
Sc: 0.5000 0.0000 0.5000
Ta: 0.5000 0.5000 0.5000
Al: 0.5000 0.5000 0.0000

# 9
## TiNb2C3 (GGA-PBE)

Data for a relaxed TiNb2C3 crystal.

Results
**E_tot**: -116.63 eV per cell
**Offset from the most stable computed form**: 182 meV/atom
**Fermi-level density of states**: 6.04 states/eV per cell
**Volume**: 155.9 Å³/cell

Cell: 6.3502 6.3502 4.4186 Å, 90.00 90.00 61.03°
Sites, in units of the cell vectors:
Ti: 0.1624 0.8376 0.7500
Ti: 0.8376 0.1624 0.2500
Nb: 0.1685 0.5005 0.2500
Nb: 0.5005 0.1685 0.7500
Nb: 0.4995 0.8315 0.2500
Nb: 0.8315 0.4995 0.7500
C: 0.1614 0.8386 0.2500
C: 0.1685 0.5024 0.7500
C: 0.4976 0.8315 0.7500
C: 0.5024 0.1685 0.2500
C: 0.8315 0.4976 0.2500
C: 0.8386 0.1614 0.7500

# 10
## CsRb2PuBr8 (GGA-PBE)

Data for a relaxed CsRb2PuBr8 crystal.

Results
**E_tot**: -47.38 eV per cell
**Fermi-level density of states**: 11.90 states/eV per cell
**Volume**: 544.4 Å³/cell

Cell: 6.9806 7.2143 10.8482 Å, 89.98 89.95 85.24°
Sites, in units of the cell vectors:
Cs: 0.0000 0.0000 0.0000
Rb: 0.4995 0.5003 0.2635
Rb: 0.5005 0.4997 0.7365
Pu: 0.0000 0.0000 0.5000
Br: 0.2023 0.6579 0.5004
Br: 0.2328 0.5065 0.0000
Br: 0.2343 0.1108 0.6853
Br: 0.2348 0.1101 0.3144
Br: 0.7652 0.8899 0.6856
Br: 0.7657 0.8892 0.3147
Br: 0.7672 0.4935 0.0000
Br: 0.7977 0.3421 0.4996

# 11
## CsGa2H6 (GGA-PBE)

Data for a relaxed CsGa2H6 crystal.

Results
**E_tot**: -54.15 eV per cell
**Offset from the most stable computed form**: 0 meV/atom
**Fermi-level density of states**: 4.14 states/eV per cell
**Volume**: 296.4 Å³/cell

Cell: 7.8531 7.8531 5.4598 Å, 110.02 110.02 79.30°
Sites, in units of the cell vectors:
Cs: 0.2434 0.7566 0.7500
Cs: 0.7566 0.2434 0.2500
Ga: 0.2105 0.2950 0.9978
Ga: 0.2950 0.2105 0.4978
Ga: 0.7050 0.7895 0.5022
Ga: 0.7895 0.7050 0.0022
H: 0.0121 0.2340 0.8700
H: 0.1386 0.3700 0.4971
H: 0.2340 0.0121 0.3700
H: 0.2629 0.4960 0.1219
H: 0.3700 0.1386 0.9971
H: 0.4960 0.2629 0.6219
H: 0.5040 0.7371 0.3781
H: 0.6300 0.8614 0.0029
H: 0.7371 0.5040 0.8781
H: 0.7660 0.9879 0.6300
H: 0.8614 0.6300 0.5029
H: 0.9879 0.7660 0.1300

# 12
## BaSn2Te2 (GGA-PBE)

Data for a relaxed BaSn2Te2 crystal.

Results
**E_tot**: -37.08 eV per cell
**Offset from the most stable computed form**: 140 meV/atom
**Fermi-level density of states**: 9.59 states/eV per cell
**Volume**: 363.9 Å³/cell

Cell: 9.0428 9.0428 4.4504 Å, 90.00 90.00 90.00°
Sites, in units of the cell vectors:
Ba: 0.0000 0.0000 0.0000
Ba: 0.5000 0.5000 0.0000
Sn: 0.1847 0.3153 0.5000
Sn: 0.3153 0.8153 0.5000
Sn: 0.6847 0.1847 0.5000
Sn: 0.8153 0.6847 0.5000
Te: 0.1525 0.6525 0.0000
Te: 0.3475 0.1525 0.0000
Te: 0.6525 0.8475 0.0000
Te: 0.8475 0.3475 0.0000